[1]
CaInCoO2 | PBE with a Hubbard U | optimized geometry

Summary:
- spin magnetization (μB per formula unit) = 2.26
- energy (eV per cell) = -21.6

Lattice parameters (Å, degrees): 4.2011 4.2011 4.6935 90.00 90.00 90.00
With the nearest neighbours (Å) after each atom.
Element x y z (fractional)
Ca 0.0000 0.0000 0.0000  4 In 2.97, 8 O 3.15
In 0.5000 0.5000 0.0000  2 Co 2.35
Co 0.5000 0.5000 0.5000  4 O 2.10, 2 In 2.35
O 0.0000 0.5000 0.5000  2 Co 2.10
O 0.5000 0.0000 0.5000  2 Co 2.10

***

[2]
Ca2InCoO4 | PBE with a Hubbard U | optimized geometry

Summary:
- spin magnetization (μB per formula unit) = 2.09
- energy (eV per cell) = -47.0

Lattice parameters (Å, degrees): 5.5458 3.3822 5.8028 90.00 109.14 90.00
With the nearest neighbours (Å) after each atom.
Element x y z (fractional)
Ca 0.0000 0.0000 0.0000  6 O 2.41-2.42
Ca 0.0000 0.5000 0.5000  6 O 2.33-2.35
In 0.5000 0.0000 0.5000  6 O 2.20-2.31
Co 0.5000 0.5000 0.0000  6 O 2.30-2.37
O 0.2609 0.0000 0.7373  1 In 2.20, 3 Ca 2.35-2.42, 2 Co 2.37
O 0.2633 0.5000 0.2593  1 Co 2.30, 2 In 2.31, 3 Ca 2.33-2.41
O 0.7367 0.5000 0.7407  1 Co 2.30, 2 In 2.31, 3 Ca 2.33-2.41
O 0.7391 0.0000 0.2627  1 In 2.20, 3 Ca 2.35-2.42, 2 Co 2.37